# 1
# K3NbIn | Alexandria via LeMat-Bulk | PBE-GGA | optimized geometry
data_K3NbIn
_space_group_name_H-M_alt 'P m -3 m'
_space_group_IT_number 221
_space_group_name_Hall '-P 4 2 3'
_cell_length_a 6.606
_cell_length_b 6.606
_cell_length_c 6.606
_cell_angle_alpha 90.00
_cell_angle_beta 90.00
_cell_angle_gamma 90.00
loop_
_atom_site_label
_atom_site_type_symbol
_atom_site_fract_x
_atom_site_fract_y
_atom_site_fract_z
_atom_site_occupancy
K1 K 0.000 0.000 0.500 1
Nb1 Nb 0.000 0.000 0.000 1
In1 In 0.500 0.500 0.500 1
# Calculated formation energy in eV per atom: 1.2012
# ΔE to the lowest computed polymorph in eV per atom: 0.000

# 2
# KNb3In | Alexandria via LeMat-Bulk | PBE-GGA | optimized geometry
data_KNb3In
_space_group_name_H-M_alt 'P m -3 m'
_space_group_IT_number 221
_space_group_name_Hall '-P 4 2 3'
_cell_length_a 4.684
_cell_length_b 4.684
_cell_length_c 4.684
_cell_angle_alpha 90.00
_cell_angle_beta 90.00
_cell_angle_gamma 90.00
loop_
_atom_site_label
_atom_site_type_symbol
_atom_site_fract_x
_atom_site_fract_y
_atom_site_fract_z
_atom_site_occupancy
K1 K 0.000 0.000 0.000 1
Nb1 Nb 0.000 0.000 0.500 1
In1 In 0.500 0.500 0.500 1
# Calculated formation energy in eV per atom: 2.3409
# ΔE to the lowest computed polymorph in eV per atom: 0.378

# 3
# KNbIn2 | Alexandria via LeMat-Bulk | PBE-GGA | optimized geometry
data_KNbIn2
_space_group_name_H-M_alt 'F m -3 m'
_space_group_IT_number 225
_space_group_name_Hall '-F 4 2 3'
_cell_length_a 7.432
_cell_length_b 7.432
_cell_length_c 7.432
_cell_angle_alpha 90.00
_cell_angle_beta 90.00
_cell_angle_gamma 90.00
loop_
_atom_site_label
_atom_site_type_symbol
_atom_site_fract_x
_atom_site_fract_y
_atom_site_fract_z
_atom_site_occupancy
K1 K 0.000 0.000 0.000 1
Nb1 Nb 0.000 0.000 0.500 1
In1 In 0.250 0.250 0.250 1
# Calculated formation energy in eV per atom: 0.5761
# ΔE to the lowest computed polymorph in eV per atom: 0.000

# 4
# KNb3In | Alexandria via LeMat-Bulk | PBE-GGA | optimized geometry
data_KNb3In
_space_group_name_H-M_alt 'P m -3 m'
_space_group_IT_number 221
_space_group_name_Hall '-P 4 2 3'
_cell_length_a 5.246
_cell_length_b 5.246
_cell_length_c 5.246
_cell_angle_alpha 90.00
_cell_angle_beta 90.00
_cell_angle_gamma 90.00
loop_
_atom_site_label
_atom_site_type_symbol
_atom_site_fract_x
_atom_site_fract_y
_atom_site_fract_z
_atom_site_occupancy
K1 K 0.000 0.000 0.000 1
Nb1 Nb 0.000 0.500 0.500 1
In1 In 0.500 0.500 0.500 1
# Calculated formation energy in eV per atom: 1.9632
# ΔE to the lowest computed polymorph in eV per atom: 0.000

# 5
# KNb2In | Alexandria via LeMat-Bulk | PBE-GGA | optimized geometry
data_KNb2In
_space_group_name_H-M_alt 'I -4 2 d'
_space_group_IT_number 122
_space_group_name_Hall 'I -4 2bw'
_cell_length_a 4.641
_cell_length_b 4.641
_cell_length_c 21.607
_cell_angle_alpha 90.00
_cell_angle_beta 90.00
_cell_angle_gamma 90.00
loop_
_atom_site_label
_atom_site_type_symbol
_atom_site_fract_x
_atom_site_fract_y
_atom_site_fract_z
_atom_site_occupancy
K1 K 0.000 0.000 0.000 1
Nb1 Nb 0.094 0.250 0.625 1
In1 In 0.000 0.000 0.500 1
# Calculated formation energy in eV per atom: 1.1386

# 6
# KNbIn2 | Alexandria via LeMat-Bulk | PBE-GGA | optimized geometry
data_KNbIn2
_space_group_name_H-M_alt 'I -4 2 d'
_space_group_IT_number 122
_space_group_name_Hall 'I -4 2bw'
_cell_length_a 5.915
_cell_length_b 5.915
_cell_length_c 19.277
_cell_angle_alpha 90.00
_cell_angle_beta 90.00
_cell_angle_gamma 90.00
loop_
_atom_site_label
_atom_site_type_symbol
_atom_site_fract_x
_atom_site_fract_y
_atom_site_fract_z
_atom_site_occupancy
K1 K 0.000 0.000 0.000 1
Nb1 Nb 0.000 0.000 0.500 1
In1 In 0.014 0.250 0.625 1
# Calculated formation energy in eV per atom: 0.7890
# ΔE to the lowest computed polymorph in eV per atom: 0.213

# 7
# KNbIn3 | Alexandria via LeMat-Bulk | PBE-GGA | optimized geometry
data_KNbIn3
_space_group_name_H-M_alt 'P m -3 m'
_space_group_IT_number 221
_space_group_name_Hall '-P 4 2 3'
_cell_length_a 5.501
_cell_length_b 5.501
_cell_length_c 5.501
_cell_angle_alpha 90.00
_cell_angle_beta 90.00
_cell_angle_gamma 90.00
loop_
_atom_site_label
_atom_site_type_symbol
_atom_site_fract_x
_atom_site_fract_y
_atom_site_fract_z
_atom_site_occupancy
K1 K 0.000 0.000 0.000 1
Nb1 Nb 0.500 0.500 0.500 1
In1 In 0.000 0.500 0.500 1
# Calculated formation energy in eV per atom: 0.2337
# ΔE to the lowest computed polymorph in eV per atom: 0.000

# 8
# KNbIn3 | Alexandria via LeMat-Bulk | PBE-GGA | optimized geometry
data_KNbIn3
_space_group_name_H-M_alt 'P m -3 m'
_space_group_IT_number 221
_space_group_name_Hall '-P 4 2 3'
_cell_length_a 5.516
_cell_length_b 5.516
_cell_length_c 5.516
_cell_angle_alpha 90.00
_cell_angle_beta 90.00
_cell_angle_gamma 90.00
loop_
_atom_site_label
_atom_site_type_symbol
_atom_site_fract_x
_atom_site_fract_y
_atom_site_fract_z
_atom_site_occupancy
K1 K 0.000 0.000 0.000 1
Nb1 Nb 0.500 0.500 0.500 1
In1 In 0.000 0.000 0.500 1
# Calculated formation energy in eV per atom: 1.7532
# ΔE to the lowest computed polymorph in eV per atom: 1.520

# 9
# KNb2InNi | Alexandria via LeMat-Bulk | PBE-GGA | optimized geometry
data_KNb2InNi
_space_group_name_H-M_alt 'P 4/m m m'
_space_group_IT_number 123
_space_group_name_Hall '-P 4 2'
_cell_length_a 4.802
_cell_length_b 4.802
_cell_length_c 4.452
_cell_angle_alpha 90.00
_cell_angle_beta 90.00
_cell_angle_gamma 90.00
loop_
_atom_site_label
_atom_site_type_symbol
_atom_site_fract_x
_atom_site_fract_y
_atom_site_fract_z
_atom_site_occupancy
K1 K 0.000 0.000 0.000 1
Nb1 Nb 0.000 0.500 0.000 1
In1 In 0.500 0.500 0.500 1
Ni1 Ni 0.000 0.000 0.500 1
# Calculated formation energy in eV per atom: 2.2243

# 10
Here is KNb4InO12 after structural relaxation from Alexandria via LeMat-Bulk. Energies are from PBE-GGA.

Cell and atoms, written as CIF:
```
data_KNb4InO12
_space_group_name_H-M_alt 'A m m 2'
_space_group_IT_number 38
_space_group_name_Hall 'A 2 -2'
_cell_length_a 7.987
_cell_length_b 7.776
_cell_length_c 7.904
_cell_angle_alpha 90.00
_cell_angle_beta 90.00
_cell_angle_gamma 90.00
loop_
_atom_site_label
_atom_site_type_symbol
_atom_site_fract_x
_atom_site_fract_y
_atom_site_fract_z
_atom_site_occupancy
K1 K 0.000 0.000 0.000 1
Nb1 Nb 0.247 0.247 0.738 1
In1 In 0.500 0.000 0.453 1
O1 O 0.000 0.210 0.721 1
O2 O 0.219 0.000 0.262 1
O3 O 0.255 0.208 0.973 1
O4 O 0.316 0.000 0.656 1
O5 O 0.500 0.194 0.256 1
```

# 11
Here is KPrNbInO6 after structural relaxation from Alexandria via LeMat-Bulk. Energies are from PBE-GGA.

Cell and atoms, written as CIF:
```
data_KPrNbInO6
_space_group_name_H-M_alt 'F -4 3 m'
_space_group_IT_number 216
_space_group_name_Hall 'F -4 2 3'
_cell_length_a 8.244
_cell_length_b 8.244
_cell_length_c 8.244
_cell_angle_alpha 90.00
_cell_angle_beta 90.00
_cell_angle_gamma 90.00
loop_
_atom_site_label
_atom_site_type_symbol
_atom_site_fract_x
_atom_site_fract_y
_atom_site_fract_z
_atom_site_occupancy
K1 K 0.000 0.000 0.000 1
Pr1 Pr 0.000 0.000 0.500 1
Nb1 Nb 0.250 0.250 0.250 1
In1 In 0.250 0.250 0.750 1
O1 O 0.008 0.250 0.250 1
```

# 12
# KNbInPb2 | Alexandria via LeMat-Bulk | PBE-GGA | optimized geometry
data_KNbInPb2
_space_group_name_H-M_alt 'P 4/m m m'
_space_group_IT_number 123
_space_group_name_Hall '-P 4 2'
_cell_length_a 5.841
_cell_length_b 5.841
_cell_length_c 5.565
_cell_angle_alpha 90.00
_cell_angle_beta 90.00
_cell_angle_gamma 90.00
loop_
_atom_site_label
_atom_site_type_symbol
_atom_site_fract_x
_atom_site_fract_y
_atom_site_fract_z
_atom_site_occupancy
K1 K 0.000 0.000 0.000 1
Nb1 Nb 0.500 0.500 0.000 1
In1 In 0.500 0.500 0.500 1
Pb1 Pb 0.000 0.500 0.500 1
# Calculated formation energy in eV per atom: 0.8493

# 13
Here is KNb2InS after structural relaxation from Alexandria via LeMat-Bulk. Energies are from PBE-GGA.

Cell and atoms, written as CIF:
```
data_KNb2InS
_space_group_name_H-M_alt 'P 4/m m m'
_space_group_IT_number 123
_space_group_name_Hall '-P 4 2'
_cell_length_a 5.262
_cell_length_b 5.262
_cell_length_c 5.952
_cell_angle_alpha 90.00
_cell_angle_beta 90.00
_cell_angle_gamma 90.00
loop_
_atom_site_label
_atom_site_type_symbol
_atom_site_fract_x
_atom_site_fract_y
_atom_site_fract_z
_atom_site_occupancy
K1 K 0.000 0.000 0.000 1
Nb1 Nb 0.000 0.500 0.500 1
In1 In 0.000 0.000 0.500 1
S1 S 0.500 0.500 0.000 1
```

# 14
# KNbZnIn2 | Alexandria via LeMat-Bulk | PBE-GGA | optimized geometry
data_KNbZnIn2
_space_group_name_H-M_alt 'P 4/m m m'
_space_group_IT_number 123
_space_group_name_Hall '-P 4 2'
_cell_length_a 5.221
_cell_length_b 5.221
_cell_length_c 5.133
_cell_angle_alpha 90.00
_cell_angle_beta 90.00
_cell_angle_gamma 90.00
loop_
_atom_site_label
_atom_site_type_symbol
_atom_site_fract_x
_atom_site_fract_y
_atom_site_fract_z
_atom_site_occupancy
K1 K 0.000 0.000 0.000 1
Nb1 Nb 0.500 0.500 0.000 1
Zn1 Zn 0.500 0.500 0.500 1
In1 In 0.000 0.500 0.500 1
# Calculated formation energy in eV per atom: 0.7259

# 15
Here is KNd2InO5 after structural relaxation from Alexandria via LeMat-Bulk. Energies are from PBE-GGA.

Cell and atoms, written as CIF:
```
data_KNd2InO5
_space_group_name_H-M_alt 'I 4/m c m'
_space_group_IT_number 140
_space_group_name_Hall '-I 4 2c'
_cell_length_a 6.875
_cell_length_b 6.875
_cell_length_c 12.200
_cell_angle_alpha 90.00
_cell_angle_beta 90.00
_cell_angle_gamma 90.00
loop_
_atom_site_label
_atom_site_type_symbol
_atom_site_fract_x
_atom_site_fract_y
_atom_site_fract_z
_atom_site_occupancy
K1 K 0.000 0.000 0.250 1
Nd1 Nd 0.179 0.321 0.000 1
In1 In 0.000 0.500 0.250 1
O1 O 0.000 0.000 0.000 1
O2 O 0.142 0.358 0.375 1
```

# 16
Here is KNdInSbO6 after structural relaxation from Alexandria via LeMat-Bulk. Energies are from PBE-GGA.

Cell and atoms, written as CIF:
```
data_KNdInSbO6
_space_group_name_H-M_alt 'F -4 3 m'
_space_group_IT_number 216
_space_group_name_Hall 'F -4 2 3'
_cell_length_a 8.195
_cell_length_b 8.195
_cell_length_c 8.195
_cell_angle_alpha 90.00
_cell_angle_beta 90.00
_cell_angle_gamma 90.00
loop_
_atom_site_label
_atom_site_type_symbol
_atom_site_fract_x
_atom_site_fract_y
_atom_site_fract_z
_atom_site_occupancy
K1 K 0.000 0.000 0.000 1
Nd1 Nd 0.000 0.000 0.500 1
In1 In 0.250 0.250 0.250 1
Sb1 Sb 0.250 0.250 0.750 1
O1 O 0.009 0.250 0.750 1
```

# 17
Here is K3Nd3InS8 after structural relaxation from Alexandria via LeMat-Bulk. Energies are from PBE-GGA.

Cell and atoms, written as CIF:
```
data_K3Nd3InS8
_space_group_name_H-M_alt 'C 1 2/m 1'
_space_group_IT_number 12
_space_group_name_Hall '-C 2y'
_cell_length_a 14.269
_cell_length_b 8.231
_cell_length_c 8.902
_cell_angle_alpha 90.00
_cell_angle_beta 122.31
_cell_angle_gamma 90.00
loop_
_atom_site_label
_atom_site_type_symbol
_atom_site_fract_x
_atom_site_fract_y
_atom_site_fract_z
_atom_site_occupancy
K1 K 0.000 0.000 0.000 1
K2 K 0.250 0.250 0.000 1
Nd1 Nd 0.000 0.500 0.500 1
Nd2 Nd 0.250 0.250 0.500 1
In1 In 0.000 0.000 0.500 1
S1 S 0.013 0.238 0.302 1
S2 S 0.225 0.000 0.698 1
S3 S 0.236 0.500 0.707 1
```

# 18
Here is K2NdInS4 after structural relaxation from Alexandria via LeMat-Bulk. Energies are from PBE-GGA.

Cell and atoms, written as CIF:
```
data_K2NdInS4
_space_group_name_H-M_alt 'I m m a'
_space_group_IT_number 74
_space_group_name_Hall '-I 2b 2'
_cell_length_a 8.226
_cell_length_b 8.520
_cell_length_c 11.974
_cell_angle_alpha 90.00
_cell_angle_beta 90.00
_cell_angle_gamma 90.00
loop_
_atom_site_label
_atom_site_type_symbol
_atom_site_fract_x
_atom_site_fract_y
_atom_site_fract_z
_atom_site_occupancy
K1 K 0.000 0.000 0.000 1
K2 K 0.250 0.250 0.250 1
Nd1 Nd 0.000 0.000 0.500 1
In1 In 0.250 0.250 0.750 1
S1 S 0.000 0.040 0.741 1
S2 S 0.229 0.250 0.515 1
```

# 19
Here is KNdInS3 after structural relaxation from Alexandria via LeMat-Bulk. Energies are from PBE-GGA.

Cell and atoms, written as CIF:
```
data_KNdInS3
_space_group_name_H-M_alt 'P 1 21/m 1'
_space_group_IT_number 11
_space_group_name_Hall '-P 2yb'
_cell_length_a 8.595
_cell_length_b 4.568
_cell_length_c 9.821
_cell_angle_alpha 90.00
_cell_angle_beta 104.58
_cell_angle_gamma 90.00
loop_
_atom_site_label
_atom_site_type_symbol
_atom_site_fract_x
_atom_site_fract_y
_atom_site_fract_z
_atom_site_occupancy
K1 K 0.199 0.250 0.214 1
Nd1 Nd 0.338 0.750 0.860 1
In1 In 0.114 0.250 0.590 1
S1 S 0.113 0.250 0.850 1
S2 S 0.229 0.750 0.543 1
S3 S 0.457 0.750 0.148 1
```

# 20
Here is K4Nd3InSe8 after structural relaxation from Alexandria via LeMat-Bulk. Energies are from PBE-GGA.

Cell and atoms, written as CIF:
```
data_K4Nd3InSe8
_space_group_name_H-M_alt 'R -3 m'
_space_group_IT_number 166
_space_group_name_Hall '-R 3 2"'
_cell_length_a 8.5961
_cell_length_b 8.5961
_cell_length_c 23.1776
_cell_angle_alpha 90.00
_cell_angle_beta 90.00
_cell_angle_gamma 120.00
loop_
_atom_site_label
_atom_site_type_symbol
_atom_site_fract_x
_atom_site_fract_y
_atom_site_fract_z
_atom_site_occupancy
K1 K 0.0000 0.0000 0.0000 1
K2 K 0.0000 0.5000 0.0000 1
Nd1 Nd 0.0000 0.5000 0.5000 1
In1 In 0.0000 0.0000 0.5000 1
Se1 Se 0.0000 0.0000 0.2373 1
Se2 Se 0.0113 0.5056 0.2359 1
```

# 21
Here is K2NdInSe4 after structural relaxation from Alexandria via LeMat-Bulk. Energies are from PBE-GGA.

Cell and atoms, written as CIF:
```
data_K2NdInSe4
_space_group_name_H-M_alt 'I m m a'
_space_group_IT_number 74
_space_group_name_Hall '-I 2b 2'
_cell_length_a 8.591
_cell_length_b 8.862
_cell_length_c 12.499
_cell_angle_alpha 90.00
_cell_angle_beta 90.00
_cell_angle_gamma 90.00
loop_
_atom_site_label
_atom_site_type_symbol
_atom_site_fract_x
_atom_site_fract_y
_atom_site_fract_z
_atom_site_occupancy
K1 K 0.000 0.000 0.000 1
K2 K 0.250 0.250 0.250 1
Nd1 Nd 0.000 0.000 0.500 1
In1 In 0.250 0.250 0.750 1
Se1 Se 0.000 0.038 0.742 1
Se2 Se 0.230 0.250 0.514 1
```

# 22
Here is K3Nd2InSe6 after structural relaxation from Alexandria via LeMat-Bulk. Energies are from PBE-GGA.

Cell and atoms, written as CIF:
```
data_K3Nd2InSe6
_space_group_name_H-M_alt 'C 1 2/m 1'
_space_group_IT_number 12
_space_group_name_Hall '-C 2y'
_cell_length_a 7.405
_cell_length_b 12.833
_cell_length_c 8.125
_cell_angle_alpha 90.00
_cell_angle_beta 107.75
_cell_angle_gamma 90.00
loop_
_atom_site_label
_atom_site_type_symbol
_atom_site_fract_x
_atom_site_fract_y
_atom_site_fract_z
_atom_site_occupancy
K1 K 0.000 0.000 0.000 1
K2 K 0.000 0.332 0.000 1
Nd1 Nd 0.000 0.166 0.500 1
In1 In 0.000 0.500 0.500 1
Se1 Se 0.229 0.340 0.708 1
Se2 Se 0.249 0.000 0.708 1
```

# 23
Here is K3Nd3InSe8 after structural relaxation from Alexandria via LeMat-Bulk. Energies are from PBE-GGA.

Cell and atoms, written as CIF:
```
data_K3Nd3InSe8
_space_group_name_H-M_alt 'C 1 2/m 1'
_space_group_IT_number 12
_space_group_name_Hall '-C 2y'
_cell_length_a 14.745
_cell_length_b 8.502
_cell_length_c 9.304
_cell_angle_alpha 90.00
_cell_angle_beta 121.92
_cell_angle_gamma 90.00
loop_
_atom_site_label
_atom_site_type_symbol
_atom_site_fract_x
_atom_site_fract_y
_atom_site_fract_z
_atom_site_occupancy
K1 K 0.000 0.000 0.000 1
K2 K 0.250 0.250 0.000 1
Nd1 Nd 0.000 0.500 0.500 1
Nd2 Nd 0.250 0.250 0.500 1
In1 In 0.000 0.000 0.500 1
Se1 Se 0.012 0.240 0.297 1
Se2 Se 0.227 0.000 0.703 1
Se3 Se 0.237 0.500 0.712 1
```

Looking at E_tot for the records above, in order, we have -10.1, -22.3, -57.4, -24.2, -77.7, -54.0, -18.2, -10.6, -18.6, -289.7, -285.7, -17.1, -20.2, -14.3, -240.4, -245.1, -150.8, -146.5, -56.5, -219.9, -134.1, -107.1, -138.5 eV per cell.